# 1
LiPuZn2 | PBE | relaxed Values from VASP.

Values from the calculation:
As for the offset from the most stable computed form: 0.000 eV per atom. As for the energy relative to the elements: -0.047 eV per atom.

Geometry as Quantum ESPRESSO input:
```
&SYSTEM
  ibrav = 0, nat = 4, ntyp = 3
/
ATOMIC_SPECIES
Zn 65.41 Zn.upf
Li 6.94 Li.upf
Pu 244.00 Pu.upf
CELL_PARAMETERS angstrom
2.828 0.000 0.000
0.000 5.261 0.000
0.000 0.000 5.261
ATOMIC_POSITIONS angstrom
Zn 0.000 0.000 2.631
Zn 0.000 2.631 0.000
Li 1.414 2.631 2.631
Pu 1.414 0.000 0.000
```

# 2
LiPuZn2 | PBE | relaxed Values from VASP.

Values from the calculation:
As for the offset from the most stable computed form: 0.057 eV per atom. As for the energy relative to the elements: 0.010 eV per atom.

Geometry as Quantum ESPRESSO input:
```
&SYSTEM
  ibrav = 0, nat = 4, ntyp = 3
/
ATOMIC_SPECIES
Zn 65.41 Zn.upf
Li 6.94 Li.upf
Pu 244.00 Pu.upf
CELL_PARAMETERS angstrom
4.836 0.000 0.000
2.418 4.188 0.000
2.418 1.396 3.948
ATOMIC_POSITIONS angstrom
Zn 2.418 1.396 0.987
Zn 7.253 4.188 2.961
Li 4.836 2.792 1.974
Pu 0.000 0.000 0.000
```

# 3
LiPu2Zn6 | PBE | relaxed Values from VASP.

Values from the calculation:
As for the energy relative to the elements: -0.165 eV per atom.

Geometry as Quantum ESPRESSO input:
```
&SYSTEM
  ibrav = 0, nat = 9, ntyp = 3
/
ATOMIC_SPECIES
Li 6.94 Li.upf
Pu 244.00 Pu.upf
Zn 65.41 Zn.upf
CELL_PARAMETERS angstrom
-0.060 1.966 -2.093
-5.119 -4.623 -4.198
-7.966 0.844 1.018
ATOMIC_POSITIONS angstrom
Li 0.000 0.000 0.000
Pu -4.362 -1.259 -1.060
Pu -8.724 -2.519 -2.120
Zn -3.504 -2.154 -3.894
Zn -7.710 -3.368 -4.918
Zn -9.641 0.342 -1.378
Zn -6.064 -1.882 -3.568
Zn -5.435 1.555 -0.355
Zn -7.080 0.070 -1.705
```

# 4
Li2Pu2Zn15 | PBE | relaxed Values from VASP.

Values from the calculation:
As for the energy relative to the elements: -0.158 eV per atom.

Geometry as Quantum ESPRESSO input:
```
&SYSTEM
  ibrav = 0, nat = 19, ntyp = 3
/
ATOMIC_SPECIES
Li 6.94 Li.upf
Pu 244.00 Pu.upf
Zn 65.41 Zn.upf
CELL_PARAMETERS angstrom
-3.905 -5.341 -1.676
1.545 -0.072 -6.647
4.906 -4.731 0.365
ATOMIC_POSITIONS angstrom
Li 0.256 -1.019 -0.800
Li 2.290 -9.124 -7.159
Pu 0.873 -3.478 -2.729
Pu 1.673 -6.665 -5.229
Zn -1.953 -2.670 -0.838
Zn 2.453 -2.365 0.183
Zn 0.773 -0.036 -3.324
Zn 2.540 -1.451 -4.572
Zn -2.292 -3.781 -3.148
Zn 2.298 -4.911 -0.239
Zn -0.068 -1.631 -5.176
Zn -1.297 -5.160 -1.072
Zn 3.911 -3.352 -1.710
Zn 3.582 -3.954 -4.343
Zn -0.767 -4.255 -5.351
Zn 0.892 -6.554 -1.890
Zn -1.035 -6.189 -3.615
Zn 3.313 -5.888 -2.608
Zn 1.655 -3.589 -6.069
```

# 5
LiPuZr | PBE | relaxed Values from VASP.

Values from the calculation:
As for the energy relative to the elements: 0.223 eV per atom.

Geometry as Quantum ESPRESSO input:
```
&SYSTEM
  ibrav = 0, nat = 3, ntyp = 3
/
ATOMIC_SPECIES
Li 6.94 Li.upf
Zr 91.22 Zr.upf
Pu 244.00 Pu.upf
CELL_PARAMETERS angstrom
-0.802 2.906 -0.524
-2.510 -0.957 -1.465
-2.049 -0.865 7.274
ATOMIC_POSITIONS angstrom
Li -0.020 0.001 0.034
Zr -2.901 1.011 1.115
Pu -2.441 0.072 4.137
```

# 6
RbLi2 | PBE | relaxed Values from VASP.

Values from the calculation:
As for the offset from the most stable computed form: 0.000 eV per atom. As for the energy relative to the elements: 0.135 eV per atom.

Geometry as Quantum ESPRESSO input:
```
&SYSTEM
  ibrav = 0, nat = 6, ntyp = 2
/
ATOMIC_SPECIES
Rb 85.47 Rb.upf
Li 6.94 Li.upf
CELL_PARAMETERS angstrom
6.885 0.000 0.000
3.442 5.962 0.000
3.442 1.987 5.621
ATOMIC_POSITIONS angstrom
Rb 0.000 0.000 0.000
Rb 3.442 1.987 1.405
Li 5.163 4.968 3.513
Li 6.885 1.987 3.513
Li 8.606 4.968 3.513
Li 6.885 3.975 0.703
```